PbBr3: optimized geometry, GGA-PBE.

The space group is I4/mmm (No. 139) and the conventional cell measures 4.525, 4.525 and 11.257 Å, with angles of 90.00, 90.00 and 90.00 degrees. The inequivalent atoms are Pb at (0.000, 0.000, 0.000), Br at (0.000, 0.000, 0.500) and Br at (0.000, 0.500, 0.250).

The density of states at the Fermi level is 4.72 states/eV per cell. The electronic total energy comes out at -2.504 eV per atom. The calculation puts the raw formation energy at -0.322 eV per atom.

PbBr4: optimized geometry, GGA-PBE.

The space group is I4/m (No. 87) and the conventional cell measures 9.452, 9.452 and 4.088 Å, with angles of 90.00, 90.00 and 90.00 degrees. The inequivalent atoms are Pb at (0.000, 0.000, 0.000) and Br at (0.105, 0.232, 0.500).

The density of states at the Fermi level is 8.47 states/eV per cell. The electronic total energy comes out at -2.280 eV per atom. The calculation puts the raw formation energy at -0.200 eV per atom.

PbBr3: optimized geometry, GGA-PBE.

The space group is P2/m (No. 10) and the conventional cell measures 5.815, 4.599 and 5.876 Å, with angles of 90.00, 119.53 and 90.00 degrees. The inequivalent atoms are Pb at (0.000, 0.000, 0.000), Br at (0.221, 0.500, 0.441) and Br at (0.500, 0.000, 0.000).

The density of states at the Fermi level is 1.01 states/eV per cell. The electronic total energy comes out at -2.701 eV per atom. The calculation puts the raw formation energy at -0.519 eV per atom.

Pb4Br5: optimized geometry, GGA-PBE.

The space group is P6_3/mcm (No. 193) and the conventional cell measures 9.6129, 9.6129 and 6.8370 Å, with angles of 90.00, 90.00 and 120.00 degrees. The inequivalent atoms are Pb at (0.0000, 0.0000, 0.0000), Pb at (0.0000, 0.3744, 0.2500), Br at (0.0000, 0.3108, 0.7500) and Br at (0.3333, 0.6667, 0.0000).

The density of states at the Fermi level is 3.96 states/eV per cell. The electronic total energy comes out at -3.029 eV per atom. The calculation puts the raw formation energy at -0.451 eV per atom.

Pb2Br3: optimized geometry, GGA-PBE.

The space group is R-3c (No. 167, hexagonal axes) and the conventional cell measures 8.4247, 8.4247 and 18.0717 Å, with angles of 90.00, 90.00 and 120.00 degrees. The inequivalent atoms are Pb at (0.0000, 0.0000, 0.1552) and Br at (0.0000, 0.3241, 0.2500).

The density of states at the Fermi level is 19.03 states/eV per cell. The electronic total energy comes out at -3.143 eV per atom. The calculation puts the raw formation energy at -0.656 eV per atom.

PbBr3: optimized geometry, GGA-PBE.

The space group is Pmmn (No. 59, origin choice 2) and the conventional cell measures 4.479, 5.771 and 10.813 Å, with angles of 90.00, 90.00 and 90.00 degrees. The inequivalent atoms are Pb at (0.250, 0.250, 0.163), Br at (0.250, 0.003, 0.677) and Br at (0.250, 0.750, 0.038).

The density of states at the Fermi level is 2.92 states/eV per cell. The electronic total energy comes out at -2.830 eV per atom. The calculation puts the raw formation energy at -0.648 eV per atom.

Pb4Br3: optimized geometry, GGA-PBE.

The space group is P6/mmm (No. 191) and the conventional cell measures 6.7784, 6.7784 and 5.7054 Å, with angles of 90.00, 90.00 and 120.00 degrees. The inequivalent atoms are Pb at (0.0000, 0.0000, 0.2460), Pb at (0.3333, 0.6667, 0.0000) and Br at (0.0000, 0.5000, 0.5000).

The density of states at the Fermi level is 2.72 states/eV per cell. The electronic total energy comes out at -2.928 eV per atom. The calculation puts the raw formation energy at -0.092 eV per atom.

PbBr3: optimized geometry, GGA-PBE.

The space group is R-3m (No. 166, hexagonal axes) and the conventional cell measures 3.3337, 3.3337 and 41.0150 Å, with angles of 90.00, 90.00 and 120.00 degrees. The inequivalent atoms are Pb at (0.0000, 0.0000, 0.0000), Br at (0.0000, 0.0000, 0.0716) and Br at (0.0000, 0.0000, 0.5000).

The density of states at the Fermi level is 12.51 states/eV per cell. The electronic total energy comes out at -2.055 eV per atom. The calculation puts the raw formation energy at 0.127 eV per atom.

What did the seventh record say?
Pb4Br3: optimized geometry, GGA-PBE.

The space group is P6/mmm (No. 191) and the conventional cell measures 6.7784, 6.7784 and 5.7054 Å, with angles of 90.00, 90.00 and 120.00 degrees. The inequivalent atoms are Pb at (0.0000, 0.0000, 0.2460), Pb at (0.3333, 0.6667, 0.0000) and Br at (0.0000, 0.5000, 0.5000).

The density of states at the Fermi level is 2.72 states/eV per cell. The electronic total energy comes out at -2.928 eV per atom. The calculation puts the raw formation energy at -0.092 eV per atom.